No. 1
Entry from Alexandria: an optimized crystal structure of LaHo8Cd2 (PBE).

Unit cell a=5.607 b=8.681 c=8.681 alpha=119.60 beta=100.86 gamma=100.86
Element x y z (fractional)
Ho: 0.116 0.093 0.320
Ho: 0.500 0.225 0.775
Ho: 0.884 0.680 0.907
Ho: 0.500 0.775 0.225
Ho: 0.704 0.406 0.406
Ho: 0.296 0.594 0.594
Ho: 0.116 0.320 0.093
Ho: 0.884 0.907 0.680
La: 0.500 0.000 0.000
Cd: 0.000 0.693 0.307
Cd: 0.000 0.307 0.693

Output
As for the space-group type: C2/m, No. 12. The calculation puts the formation energy at 0.043 eV/atom.

No. 2
Entry from Alexandria: an optimized crystal structure of Ti2MoW4 (PBE).

Unit cell a=2.715 b=7.886 c=7.174 alpha=57.29 beta=75.27 gamma=62.06
Element x y z (fractional)
Ti: 0.837 0.141 0.281
Ti: 0.163 0.859 0.719
W: 0.686 0.567 0.146
W: 0.314 0.433 0.854
W: 0.103 0.287 0.569
W: 0.897 0.713 0.431
Mo: 0.000 0.000 0.000

Output
As for the space-group type: P-1, No. 2. The calculation puts the formation energy at 0.108 eV/atom.

No. 3
Entry from Alexandria: an optimized crystal structure of ZrCd2Os (PBE).

Unit cell a=5.630 b=5.630 c=4.520 alpha=67.71 beta=67.71 gamma=35.66
Element x y z (fractional)
Os: 0.750 0.750 0.750
Zr: 0.250 0.250 0.250
Cd: 0.015 0.015 0.984
Cd: 0.485 0.485 0.516

Output
As for the space-group type: C2/m, No. 12. The calculation puts the formation energy at 0.091 eV/atom.

No. 4
Entry from Alexandria: an optimized crystal structure of Y3HgC (PBE).

Unit cell a=6.914 b=6.915 c=6.032 alpha=74.27 beta=105.75 gamma=118.99
Element x y z (fractional)
Y: 0.207 0.982 0.703
Y: 0.007 0.679 0.255
Y: 0.691 0.995 0.596
Y: 0.704 0.479 0.702
Y: 0.509 0.704 0.121
Y: 0.982 0.177 0.121
Hg: 0.224 0.461 0.672
Hg: 0.473 0.213 0.164
C: 0.852 0.834 0.411
C: 0.604 0.082 0.895

Output
As for the space-group type: Cm, No. 8. The calculation puts the formation energy at -0.331 eV/atom.

No. 5
Entry from Alexandria: an optimized crystal structure of BH3Se (PBE).

Unit cell a=3.315 b=3.315 c=3.315 alpha=90.00 beta=90.00 gamma=90.00
Element x y z (fractional)
Se: 0.500 0.500 0.500
B: 0.000 0.000 0.000
H: 0.000 0.500 0.000
H: 0.000 0.000 0.500
H: 0.500 0.000 0.000

Output
As for the space-group type: Pm-3m, No. 221. The value obtained for the calculated total energy is -2.899 eV per atom.

No. 6
Entry from Alexandria: an optimized crystal structure of AcAlIn (PBE).

Unit cell a=3.727 b=3.727 c=6.693 alpha=106.17 beta=106.17 gamma=90.00
Element x y z (fractional)
Ac: 0.006 0.006 0.012
In: 0.306 0.306 0.612
Al: 0.688 0.688 0.377

Output
As for the space-group type: I4mm, No. 107. The calculation puts the formation energy at -0.183 eV/atom.

No. 7
Entry from Alexandria: an optimized crystal structure of Nb2GaF (PBE).

Unit cell a=4.434 b=4.434 c=4.434 alpha=60.00 beta=60.00 gamma=60.00
Element x y z (fractional)
Nb: 0.750 0.750 0.750
Nb: 0.250 0.250 0.250
F: 0.000 0.000 0.000
Ga: 0.500 0.500 0.500

Output
The formation energy from raw total energies comes out at -120 kJ/mol of formula units. As for the space-group type: Fm-3m, No. 225.

No. 8
Entry from Alexandria: an optimized crystal structure of Sc7Ga2Hg2 (PBE).

Unit cell a=6.215 b=7.255 c=6.215 alpha=90.00 beta=109.78 gamma=90.00
Element x y z (fractional)
Ga: 0.175 0.500 0.175
Ga: 0.825 0.500 0.825
Sc: 0.500 0.296 0.000
Sc: 0.000 0.296 0.500
Sc: 0.500 0.281 0.500
Sc: 0.500 0.704 0.000
Sc: 0.500 0.719 0.500
Sc: 0.000 0.000 0.000
Sc: 0.000 0.704 0.500
Hg: 0.294 0.000 0.706
Hg: 0.706 0.000 0.294

Output
As for the space-group type: Cmmm, No. 65. The calculation puts the formation energy at -0.104 eV/atom.

No. 9
Entry from Alexandria: an optimized crystal structure of Sm3YCo2 (PBE).

Unit cell a=3.790 b=8.585 c=10.066 alpha=78.19 beta=79.15 gamma=77.25
Element x y z (fractional)
Co: 0.767 0.421 0.044
Co: 0.233 0.579 0.956
Co: 0.765 0.921 0.548
Co: 0.235 0.079 0.452
Y: 0.840 0.570 0.750
Y: 0.160 0.430 0.250
Sm: 0.160 0.929 0.751
Sm: 0.840 0.071 0.249
Sm: 0.417 0.721 0.445
Sm: 0.584 0.771 0.061
Sm: 0.583 0.279 0.555
Sm: 0.416 0.229 0.939

Output
As for the space-group type: C2/m, No. 12. The calculation puts the formation energy at -0.104 eV/atom.

No. 10
Entry from Alexandria: an optimized crystal structure of Ac3TlH2 (PBE).

Unit cell a=5.491 b=8.043 c=8.043 alpha=104.57 beta=90.00 gamma=90.00
Element x y z (fractional)
H: 0.000 0.150 0.150
H: 0.500 0.150 0.150
H: 0.500 0.850 0.850
H: 0.000 0.850 0.850
Ac: 0.750 0.184 0.412
Ac: 0.250 0.888 0.112
Ac: 0.250 0.816 0.588
Ac: 0.750 0.112 0.888
Ac: 0.250 0.412 0.184
Ac: 0.750 0.588 0.816
Tl: 0.250 0.308 0.692
Tl: 0.750 0.692 0.308

Output
As for the space-group type: Cmcm, No. 63. The value obtained for the calculated total energy is -3.900 eV per atom.

No. 11
Entry from Alexandria: an optimized crystal structure of Ta3Cr (PBE).

Unit cell a=4.126 b=4.126 c=4.126 alpha=90.00 beta=90.00 gamma=90.00
Last column: magnetic moment on the atom in μB.
Element x y z (fractional)
Cr: 0.000 0.000 0.000  2.47
Ta: 0.500 0.000 0.500  -0.13
Ta: 0.000 0.500 0.500  -0.13
Ta: 0.500 0.500 0.000  -0.13

Output
As for the space-group type: Pm-3m, No. 221. The calculation puts the formation energy at 0.342 eV/atom.

No. 12
Entry from Alexandria: an optimized crystal structure of PmNiAsH (PBE).

Unit cell a=4.122 b=4.123 c=4.073 alpha=90.00 beta=90.00 gamma=120.00
Element x y z (fractional)
As: 0.905 0.810 0.800
Ni: 0.239 0.477 0.860
H: 0.239 0.477 0.257
Pm: 0.572 0.144 0.322

Output
As for the space-group type: P3m1, No. 156. The value obtained for the calculated total energy is -5.532 eV per atom.

No. 13
Entry from Alexandria: an optimized crystal structure of Fe2HgBH (PBE).

Unit cell a=5.080 b=5.080 c=4.047 alpha=90.00 beta=90.00 gamma=90.00
Last column: magnetic moment on the atom in μB.
Element x y z (fractional)
Fe: 0.000 0.500 0.000  3.37
Fe: 0.500 0.000 0.000  3.37
H: 0.500 0.500 0.500  0.16
B: 0.000 0.000 0.500  0.06
Hg: 0.000 0.000 0.000  0.03

Output
As for the space-group type: P4/mmm, No. 123. The value obtained for the calculated total energy is -3.416 eV per atom.

No. 14
Entry from Alexandria: an optimized crystal structure of SrZn9Pt2 (PBE).

Unit cell a=7.034 b=8.365 c=8.365 alpha=79.82 beta=65.13 gamma=65.13
Element x y z (fractional)
Zn: 0.734 0.831 0.586
Zn: 0.599 0.331 0.086
Zn: 0.750 0.500 0.500
Zn: 0.070 0.914 0.331
Zn: 0.599 0.086 0.331
Zn: 0.151 0.414 0.169
Zn: 0.734 0.586 0.831
Zn: 0.151 0.169 0.414
Zn: 0.315 0.086 0.669
Zn: 0.070 0.331 0.914
Zn: 0.680 0.169 0.586
Zn: 0.435 0.414 0.831
Zn: 0.435 0.831 0.414
Zn: 0.680 0.586 0.169
Zn: 0.016 0.914 0.669
Zn: 0.016 0.669 0.914
Zn: 0.315 0.669 0.086
Zn: 0.000 0.000 0.000
Pt: 0.875 0.250 0.750
Pt: 0.875 0.750 0.250
Pt: 0.875 0.250 0.250
Pt: 0.375 0.750 0.750
Sr: 0.250 0.500 0.500
Sr: 0.500 0.000 0.000

Output
As for the space-group type: I4_1/amd, No. 141. The calculation puts the formation energy at -0.386 eV/atom.